No. 1
CuTe5Ir3: optimized geometry, PBE.

- E: -42.97 eV/cell
- Total magnetization: 0.01 μB per formula unit

Cell lengths 5.752, 5.752, 7.749 Å; angles 90.00, 90.00, 120.00 degrees
Sites, in units of the cell vectors:
Cu (0.000, 0.000, 0.000)
Te (0.000, 0.000, 0.500)
Te (0.333, 0.667, 0.221)
Te (0.333, 0.667, 0.779)
Te (0.667, 0.333, 0.221)
Te (0.667, 0.333, 0.779)
Ir (0.000, 0.500, 0.500)
Ir (0.500, 0.000, 0.500)
Ir (0.500, 0.500, 0.500)



No. 2
TlCuIrW: optimized geometry, PBE.

- E: -102.18 eV/cell
- Total magnetization: 0.57 μB per formula unit

Cell lengths 6.385, 6.385, 6.385 Å; angles 90.00, 90.00, 90.00 degrees
Sites, in units of the cell vectors:
Tl (0.000, 0.000, 0.000)
Tl (0.000, 0.500, 0.500)
Tl (0.500, 0.000, 0.500)
Tl (0.500, 0.500, 0.000)
Cu (0.250, 0.250, 0.250)
Cu (0.250, 0.750, 0.750)
Cu (0.750, 0.250, 0.750)
Cu (0.750, 0.750, 0.250)
Ir (0.250, 0.250, 0.750)
Ir (0.250, 0.750, 0.250)
Ir (0.750, 0.250, 0.250)
Ir (0.750, 0.750, 0.750)
W (0.000, 0.000, 0.500)
W (0.000, 0.500, 0.000)
W (0.500, 0.000, 0.000)
W (0.500, 0.500, 0.500)



No. 3
TlCuIrW: optimized geometry, PBE.

- E: -101.52 eV/cell
- Total magnetization: 0.04 μB per formula unit

Cell lengths 6.390, 6.390, 6.390 Å; angles 90.00, 90.00, 90.00 degrees
Sites, in units of the cell vectors:
Tl (0.000, 0.000, 0.000)
Tl (0.000, 0.500, 0.500)
Tl (0.500, 0.000, 0.500)
Tl (0.500, 0.500, 0.000)
Cu (0.250, 0.250, 0.250)
Cu (0.250, 0.750, 0.750)
Cu (0.750, 0.250, 0.750)
Cu (0.750, 0.750, 0.250)
Ir (0.000, 0.000, 0.500)
Ir (0.000, 0.500, 0.000)
Ir (0.500, 0.000, 0.000)
Ir (0.500, 0.500, 0.500)
W (0.250, 0.250, 0.750)
W (0.250, 0.750, 0.250)
W (0.750, 0.250, 0.250)
W (0.750, 0.750, 0.750)



No. 4
YTlCuIr: optimized geometry, PBE.

- E: -85.65 eV/cell
- Total magnetization: 0.00 μB per formula unit

Cell lengths 6.785, 6.785, 6.785 Å; angles 90.00, 90.00, 90.00 degrees
Sites, in units of the cell vectors:
Y (0.000, 0.000, 0.000)
Y (0.000, 0.500, 0.500)
Y (0.500, 0.000, 0.500)
Y (0.500, 0.500, 0.000)
Tl (0.250, 0.250, 0.250)
Tl (0.250, 0.750, 0.750)
Tl (0.750, 0.250, 0.750)
Tl (0.750, 0.750, 0.250)
Cu (0.000, 0.000, 0.500)
Cu (0.000, 0.500, 0.000)
Cu (0.500, 0.000, 0.000)
Cu (0.500, 0.500, 0.500)
Ir (0.250, 0.250, 0.750)
Ir (0.250, 0.750, 0.250)
Ir (0.750, 0.250, 0.250)
Ir (0.750, 0.750, 0.750)



No. 5
YTlCuIr: optimized geometry, PBE.

- E: -88.33 eV/cell
- Total magnetization: 0.00 μB per formula unit

Cell lengths 6.753, 6.753, 6.753 Å; angles 90.00, 90.00, 90.00 degrees
Sites, in units of the cell vectors:
Y (0.000, 0.000, 0.000)
Y (0.000, 0.500, 0.500)
Y (0.500, 0.000, 0.500)
Y (0.500, 0.500, 0.000)
Tl (0.000, 0.000, 0.500)
Tl (0.000, 0.500, 0.000)
Tl (0.500, 0.000, 0.000)
Tl (0.500, 0.500, 0.500)
Cu (0.250, 0.250, 0.750)
Cu (0.250, 0.750, 0.250)
Cu (0.750, 0.250, 0.250)
Cu (0.750, 0.750, 0.750)
Ir (0.250, 0.250, 0.250)
Ir (0.250, 0.750, 0.750)
Ir (0.750, 0.250, 0.750)
Ir (0.750, 0.750, 0.250)



No. 6
TlZnCuIr: optimized geometry, PBE.

- E: -60.97 eV/cell
- Total magnetization: 0.00 μB per formula unit

Cell lengths 6.360, 6.360, 6.360 Å; angles 90.00, 90.00, 90.00 degrees
Sites, in units of the cell vectors:
Tl (0.000, 0.000, 0.000)
Tl (0.000, 0.500, 0.500)
Tl (0.500, 0.000, 0.500)
Tl (0.500, 0.500, 0.000)
Zn (0.000, 0.000, 0.500)
Zn (0.000, 0.500, 0.000)
Zn (0.500, 0.000, 0.000)
Zn (0.500, 0.500, 0.500)
Cu (0.250, 0.250, 0.250)
Cu (0.250, 0.750, 0.750)
Cu (0.750, 0.250, 0.750)
Cu (0.750, 0.750, 0.250)
Ir (0.250, 0.250, 0.750)
Ir (0.250, 0.750, 0.250)
Ir (0.750, 0.250, 0.250)
Ir (0.750, 0.750, 0.750)



No. 7
TlZnCuIr: optimized geometry, PBE.

- E: -59.72 eV/cell
- Total magnetization: 0.00 μB per formula unit

Cell lengths 6.328, 6.328, 6.328 Å; angles 90.00, 90.00, 90.00 degrees
Sites, in units of the cell vectors:
Tl (0.000, 0.000, 0.000)
Tl (0.000, 0.500, 0.500)
Tl (0.500, 0.000, 0.500)
Tl (0.500, 0.500, 0.000)
Zn (0.250, 0.250, 0.750)
Zn (0.250, 0.750, 0.250)
Zn (0.750, 0.250, 0.250)
Zn (0.750, 0.750, 0.750)
Cu (0.250, 0.250, 0.250)
Cu (0.250, 0.750, 0.750)
Cu (0.750, 0.250, 0.750)
Cu (0.750, 0.750, 0.250)
Ir (0.000, 0.000, 0.500)
Ir (0.000, 0.500, 0.000)
Ir (0.500, 0.000, 0.000)
Ir (0.500, 0.500, 0.500)



No. 8
Tm3Zn3Cu2Ir: optimized geometry, PBE.

- E: -37.41 eV/cell
- Formation enthalpy at 0 K: -0.43 eV/atom
- Total magnetization: 0.01 μB per formula unit

Cell lengths 6.984, 6.984, 3.950 Å; angles 90.00, 90.00, 120.00 degrees
Sites, in units of the cell vectors:
Tm (0.000, 0.405, 0.000)
Tm (0.405, 0.000, 0.000)
Tm (0.595, 0.595, 0.000)
Zn (0.000, 0.750, 0.500)
Zn (0.250, 0.250, 0.500)
Zn (0.750, 0.000, 0.500)
Cu (0.333, 0.667, 0.500)
Cu (0.667, 0.333, 0.500)
Ir (0.000, 0.000, 0.000)



No. 9
UCuIr: optimized geometry, PBE.

- E: -93.51 eV/cell
- Formation enthalpy at 0 K: 0.16 eV/atom
- Total magnetization: 2.14 μB per formula unit

Cell lengths 6.095, 6.095, 6.095 Å; angles 90.00, 90.00, 90.00 degrees
Sites, in units of the cell vectors:
U (0.000, 0.000, 0.000)
U (0.000, 0.500, 0.500)
U (0.500, 0.000, 0.500)
U (0.500, 0.500, 0.000)
Cu (0.250, 0.250, 0.750)
Cu (0.250, 0.750, 0.250)
Cu (0.750, 0.250, 0.250)
Cu (0.750, 0.750, 0.750)
Ir (0.000, 0.000, 0.500)
Ir (0.000, 0.500, 0.000)
Ir (0.500, 0.000, 0.000)
Ir (0.500, 0.500, 0.500)



No. 10
UCuIr: optimized geometry, PBE.

- E: -90.59 eV/cell
- Formation enthalpy at 0 K: 0.41 eV/atom
- Total magnetization: 1.97 μB per formula unit

Cell lengths 6.346, 6.346, 6.346 Å; angles 90.00, 90.00, 90.00 degrees
Sites, in units of the cell vectors:
U (0.000, 0.000, 0.000)
U (0.000, 0.500, 0.500)
U (0.500, 0.000, 0.500)
U (0.500, 0.500, 0.000)
Cu (0.250, 0.250, 0.750)
Cu (0.250, 0.750, 0.250)
Cu (0.750, 0.250, 0.250)
Cu (0.750, 0.750, 0.750)
Ir (0.250, 0.250, 0.250)
Ir (0.250, 0.750, 0.750)
Ir (0.750, 0.250, 0.750)
Ir (0.750, 0.750, 0.250)



No. 11
Y2CuIr: optimized geometry, PBE.

- E: -55.64 eV/cell
- Formation enthalpy at 0 K: -0.58 eV/atom
- Total magnetization: 0.00 μB per formula unit

Cell lengths 4.878, 4.878, 6.890 Å; angles 90.00, 90.00, 90.00 degrees
Sites, in units of the cell vectors:
Y (0.000, 0.500, 0.250)
Y (0.000, 0.500, 0.750)
Y (0.500, 0.000, 0.250)
Y (0.500, 0.000, 0.750)
Cu (0.000, 0.000, 0.000)
Cu (0.500, 0.500, 0.500)
Ir (0.000, 0.000, 0.500)
Ir (0.500, 0.500, 0.000)



No. 12
Y2CuIr: optimized geometry, PBE.

- E: -110.84 eV/cell
- Formation enthalpy at 0 K: -0.55 eV/atom
- Total magnetization: 0.00 μB per formula unit

Cell lengths 6.909, 6.949, 6.826 Å; angles 90.00, 90.00, 90.00 degrees
Sites, in units of the cell vectors:
Y (0.250, 0.001, 0.250)
Y (0.250, 0.499, 0.250)
Y (0.250, 0.501, 0.750)
Y (0.250, 0.999, 0.750)
Y (0.750, 0.001, 0.250)
Y (0.750, 0.499, 0.250)
Y (0.750, 0.501, 0.750)
Y (0.750, 0.999, 0.750)
Cu (0.000, 0.250, 0.504)
Cu (0.000, 0.750, 0.496)
Cu (0.500, 0.250, 0.996)
Cu (0.500, 0.750, 0.004)
Ir (0.000, 0.250, 0.998)
Ir (0.000, 0.750, 0.002)
Ir (0.500, 0.250, 0.502)
Ir (0.500, 0.750, 0.498)



No. 13
Y2CuIr: optimized geometry, PBE.

- E: -27.71 eV/cell
- Formation enthalpy at 0 K: -0.55 eV/atom
- Total magnetization: 0.00 μB per formula unit

Cell lengths 4.863, 4.863, 3.477 Å; angles 90.00, 90.00, 90.00 degrees
Sites, in units of the cell vectors:
Y (0.000, 0.500, 0.000)
Y (0.500, 0.000, 0.000)
Cu (0.000, 0.000, 0.500)
Ir (0.500, 0.500, 0.500)



No. 14
YZnCuIr: optimized geometry, PBE.

- E: -83.87 eV/cell
- Formation enthalpy at 0 K: -0.17 eV/atom
- Total magnetization: 0.00 μB per formula unit

Cell lengths 6.530, 6.530, 6.530 Å; angles 90.00, 90.00, 90.00 degrees
Sites, in units of the cell vectors:
Y (0.000, 0.000, 0.000)
Y (0.000, 0.500, 0.500)
Y (0.500, 0.000, 0.500)
Y (0.500, 0.500, 0.000)
Zn (0.250, 0.250, 0.250)
Zn (0.250, 0.750, 0.750)
Zn (0.750, 0.250, 0.750)
Zn (0.750, 0.750, 0.250)
Cu (0.000, 0.000, 0.500)
Cu (0.000, 0.500, 0.000)
Cu (0.500, 0.000, 0.000)
Cu (0.500, 0.500, 0.500)
Ir (0.250, 0.250, 0.750)
Ir (0.250, 0.750, 0.250)
Ir (0.750, 0.250, 0.250)
Ir (0.750, 0.750, 0.750)



No. 15
YZnCuIr: optimized geometry, PBE.

- E: -86.08 eV/cell
- Formation enthalpy at 0 K: -0.30 eV/atom
- Total magnetization: 0.00 μB per formula unit

Cell lengths 6.511, 6.511, 6.511 Å; angles 90.00, 90.00, 90.00 degrees
Sites, in units of the cell vectors:
Y (0.000, 0.000, 0.000)
Y (0.000, 0.500, 0.500)
Y (0.500, 0.000, 0.500)
Y (0.500, 0.500, 0.000)
Zn (0.000, 0.000, 0.500)
Zn (0.000, 0.500, 0.000)
Zn (0.500, 0.000, 0.000)
Zn (0.500, 0.500, 0.500)
Cu (0.250, 0.250, 0.750)
Cu (0.250, 0.750, 0.250)
Cu (0.750, 0.250, 0.250)
Cu (0.750, 0.750, 0.750)
Ir (0.250, 0.250, 0.250)
Ir (0.250, 0.750, 0.750)
Ir (0.750, 0.250, 0.750)
Ir (0.750, 0.750, 0.250)



No. 16
Zn6CuIr: optimized geometry, PBE.

- E: -21.27 eV/cell
- Formation enthalpy at 0 K: -0.14 eV/atom
- Total magnetization: 0.00 μB per formula unit

Cell lengths 4.312, 5.342, 4.798 Å; angles 90.00, 90.00, 90.00 degrees
Sites, in units of the cell vectors:
Zn (0.000, 0.000, 0.000)
Zn (0.000, 0.253, 0.521)
Zn (0.000, 0.747, 0.521)
Zn (0.500, 0.246, 0.194)
Zn (0.500, 0.500, 0.706)
Zn (0.500, 0.754, 0.194)
Cu (0.500, 0.000, 0.692)
Ir (0.000, 0.500, 0.026)



No. 17
Zn2CuIr: optimized geometry, PBE.

- E: -62.90 eV/cell
- Formation enthalpy at 0 K: -0.16 eV/atom
- Total magnetization: 0.00 μB per formula unit

Cell lengths 6.002, 6.002, 6.002 Å; angles 90.00, 90.00, 90.00 degrees
Sites, in units of the cell vectors:
Zn (0.250, 0.250, 0.250)
Zn (0.250, 0.250, 0.750)
Zn (0.250, 0.750, 0.250)
Zn (0.250, 0.750, 0.750)
Zn (0.750, 0.250, 0.250)
Zn (0.750, 0.250, 0.750)
Zn (0.750, 0.750, 0.250)
Zn (0.750, 0.750, 0.750)
Cu (0.000, 0.000, 0.000)
Cu (0.000, 0.500, 0.500)
Cu (0.500, 0.000, 0.500)
Cu (0.500, 0.500, 0.000)
Ir (0.000, 0.000, 0.500)
Ir (0.000, 0.500, 0.000)
Ir (0.500, 0.000, 0.000)
Ir (0.500, 0.500, 0.500)



No. 18
ZnCu2Ir: optimized geometry, PBE.

- E: -70.47 eV/cell
- Formation enthalpy at 0 K: -0.02 eV/atom
- Total magnetization: 0.00 μB per formula unit

Cell lengths 5.934, 5.934, 5.934 Å; angles 90.00, 90.00, 90.00 degrees
Sites, in units of the cell vectors:
Zn (0.000, 0.000, 0.000)
Zn (0.000, 0.500, 0.500)
Zn (0.500, 0.000, 0.500)
Zn (0.500, 0.500, 0.000)
Cu (0.000, 0.000, 0.500)
Cu (0.000, 0.500, 0.000)
Cu (0.250, 0.250, 0.250)
Cu (0.250, 0.750, 0.750)
Cu (0.500, 0.000, 0.000)
Cu (0.500, 0.500, 0.500)
Cu (0.750, 0.250, 0.750)
Cu (0.750, 0.750, 0.250)
Ir (0.250, 0.250, 0.750)
Ir (0.250, 0.750, 0.250)
Ir (0.750, 0.250, 0.250)
Ir (0.750, 0.750, 0.750)



No. 19
Zn2CuIr: optimized geometry, PBE.

- E: -61.48 eV/cell
- Formation enthalpy at 0 K: -0.07 eV/atom
- Total magnetization: 0.00 μB per formula unit

Cell lengths 6.010, 6.010, 6.010 Å; angles 90.00, 90.00, 90.00 degrees
Sites, in units of the cell vectors:
Zn (0.000, 0.000, 0.000)
Zn (0.000, 0.500, 0.500)
Zn (0.250, 0.250, 0.250)
Zn (0.250, 0.750, 0.750)
Zn (0.500, 0.000, 0.500)
Zn (0.500, 0.500, 0.000)
Zn (0.750, 0.250, 0.750)
Zn (0.750, 0.750, 0.250)
Cu (0.000, 0.000, 0.500)
Cu (0.000, 0.500, 0.000)
Cu (0.500, 0.000, 0.000)
Cu (0.500, 0.500, 0.500)
Ir (0.250, 0.250, 0.750)
Ir (0.250, 0.750, 0.250)
Ir (0.750, 0.250, 0.250)
Ir (0.750, 0.750, 0.750)



No. 20
ZnCu2Ir: optimized geometry, PBE.

- E: -35.19 eV/cell
- Formation enthalpy at 0 K: -0.01 eV/atom
- Total magnetization: 0.00 μB per formula unit

Cell lengths 4.308, 5.266, 4.593 Å; angles 90.00, 90.00, 90.00 degrees
Sites, in units of the cell vectors:
Zn (0.250, 0.250, 0.166)
Zn (0.750, 0.750, 0.834)
Cu (0.250, 0.002, 0.662)
Cu (0.250, 0.498, 0.662)
Cu (0.750, 0.502, 0.338)
Cu (0.750, 0.998, 0.338)
Ir (0.250, 0.750, 0.169)
Ir (0.750, 0.250, 0.831)



No. 21
ZrCu4Ir2: optimized geometry, PBE.

- E: -65.22 eV/cell
- Formation enthalpy at 0 K: 1.22 eV/atom
- Total magnetization: 0.09 μB per formula unit

Cell lengths 4.523, 4.523, 12.698 Å; angles 90.00, 90.00, 90.00 degrees
Sites, in units of the cell vectors:
Zr (0.000, 0.000, 0.000)
Zr (0.500, 0.500, 0.500)
Cu (0.000, 0.000, 0.203)
Cu (0.000, 0.000, 0.797)
Cu (0.000, 0.500, 0.000)
Cu (0.000, 0.500, 0.500)
Cu (0.500, 0.000, 0.000)
Cu (0.500, 0.000, 0.500)
Cu (0.500, 0.500, 0.297)
Cu (0.500, 0.500, 0.703)
Ir (0.000, 0.000, 0.394)
Ir (0.000, 0.000, 0.606)
Ir (0.500, 0.500, 0.106)
Ir (0.500, 0.500, 0.894)



No. 22
Zr4CuIr: optimized geometry, PBE.

- E: -98.25 eV/cell
- Formation enthalpy at 0 K: -0.39 eV/atom
- Total magnetization: 0.00 μB per formula unit

Cell lengths 4.664, 10.752, 4.664 Å; angles 90.00, 90.00, 90.00 degrees
Sites, in units of the cell vectors:
Zr (0.000, 0.153, 0.000)
Zr (0.000, 0.347, 0.500)
Zr (0.000, 0.653, 0.500)
Zr (0.000, 0.847, 0.000)
Zr (0.500, 0.153, 0.498)
Zr (0.500, 0.347, 0.998)
Zr (0.500, 0.653, 0.998)
Zr (0.500, 0.847, 0.498)
Cu (0.500, 0.000, 0.996)
Cu (0.500, 0.500, 0.496)
Ir (0.000, 0.000, 0.502)
Ir (0.000, 0.500, 0.002)



No. 23
ZrCuIr2: optimized geometry, PBE.

- E: -122.45 eV/cell
- Formation enthalpy at 0 K: -0.16 eV/atom
- Total magnetization: 0.55 μB per formula unit

Cell lengths 6.332, 6.332, 6.332 Å; angles 90.00, 90.00, 90.00 degrees
Sites, in units of the cell vectors:
Zr (0.000, 0.000, 0.000)
Zr (0.000, 0.500, 0.500)
Zr (0.500, 0.000, 0.500)
Zr (0.500, 0.500, 0.000)
Cu (0.250, 0.250, 0.250)
Cu (0.250, 0.750, 0.750)
Cu (0.750, 0.250, 0.750)
Cu (0.750, 0.750, 0.250)
Ir (0.000, 0.000, 0.500)
Ir (0.000, 0.500, 0.000)
Ir (0.250, 0.250, 0.750)
Ir (0.250, 0.750, 0.250)
Ir (0.500, 0.000, 0.000)
Ir (0.500, 0.500, 0.500)
Ir (0.750, 0.250, 0.250)
Ir (0.750, 0.750, 0.750)



No. 24
KLaCuS3: optimized geometry, PBE.

- E: -59.47 eV/cell
- Total magnetization: 0.10 μB per formula unit

Cell lengths 8.729, 4.126, 9.422 Å; angles 90.00, 102.48, 90.00 degrees
Sites, in units of the cell vectors:
K (0.198, 0.250, 0.238)
K (0.802, 0.750, 0.762)
La (0.325, 0.750, 0.852)
La (0.675, 0.250, 0.148)
Cu (0.080, 0.250, 0.604)
Cu (0.920, 0.750, 0.396)
S (0.096, 0.250, 0.850)
S (0.172, 0.750, 0.536)
S (0.449, 0.750, 0.158)
S (0.551, 0.250, 0.842)
S (0.828, 0.250, 0.464)
S (0.904, 0.750, 0.150)



No. 25
KLaCuSe3: optimized geometry, PBE.

- E: -54.81 eV/cell
- Total magnetization: 0.03 μB per formula unit

Cell lengths 9.126, 4.259, 9.773 Å; angles 90.00, 104.67, 90.00 degrees
Sites, in units of the cell vectors:
K (0.206, 0.250, 0.240)
K (0.794, 0.750, 0.760)
La (0.319, 0.750, 0.854)
La (0.681, 0.250, 0.146)
Cu (0.087, 0.250, 0.602)
Cu (0.913, 0.750, 0.398)
Se (0.090, 0.250, 0.852)
Se (0.180, 0.750, 0.529)
Se (0.456, 0.750, 0.165)
Se (0.544, 0.250, 0.835)
Se (0.820, 0.250, 0.471)
Se (0.910, 0.750, 0.148)



No. 26
KLuCu: optimized geometry, PBE.

- E: -30.00 eV/cell
- Total magnetization: 0.01 μB per formula unit

Cell lengths 7.130, 7.130, 7.130 Å; angles 90.00, 90.00, 90.00 degrees
Sites, in units of the cell vectors:
K (0.000, 0.000, 0.000)
K (0.000, 0.500, 0.500)
K (0.500, 0.000, 0.500)
K (0.500, 0.500, 0.000)
Lu (0.000, 0.000, 0.500)
Lu (0.000, 0.500, 0.000)
Lu (0.500, 0.000, 0.000)
Lu (0.500, 0.500, 0.500)
Cu (0.250, 0.250, 0.250)
Cu (0.250, 0.750, 0.750)
Cu (0.750, 0.250, 0.750)
Cu (0.750, 0.750, 0.250)